1.
Material: NbV3I
Method: DFT, PBE
State: optimized geometry

Results
The calculation puts the formation energy from raw total energies at 1.675 eV/atom. Its space group is Pm-3m (221). Its density of states at the Fermi level is 7.85 states/eV/f.u.

a b c (Å): 4.725 4.725 4.725
angles (deg): 90.00 90.00 90.00
Fractional positions:
Nb (0.000, 0.000, 0.000)
V (0.000, 0.500, 0.500)
V (0.500, 0.000, 0.500)
V (0.500, 0.500, 0.000)
I (0.500, 0.500, 0.500)

2.
Material: NbIn2As2
Method: DFT, PBE
State: optimized geometry

Results
As for the formation energy: 0.4341 eV per atom. Its space group is P4/mbm (127). Its density of states at the Fermi level is 4.03 states/eV/f.u.

a b c (Å): 7.599 7.599 3.738
angles (deg): 90.00 90.00 90.00
Fractional positions:
Nb (0.000, 0.000, 0.000)
Nb (0.500, 0.500, 0.000)
In (0.138, 0.362, 0.000)
In (0.362, 0.862, 0.000)
In (0.638, 0.138, 0.000)
In (0.862, 0.638, 0.000)
As (0.173, 0.673, 0.500)
As (0.327, 0.173, 0.500)
As (0.673, 0.827, 0.500)
As (0.827, 0.327, 0.500)

Going through the records in order, we get V values of 21.1 21.6 A^3/atom.
Going through the records in order, we get energy values of -6.1200 -4.5351 eV per atom.